No. 1
DFT (PBE) results for crystalline MnCd2Pt5 at its relaxed geometry.

Values from the calculation:
Theoretical density: 15.9 g/cm3
Magnetic moment: 4.62 μB per formula unit
DFT formation energy: -28.06 kJ per mole of atoms
Fermi-level density of states: 7.653 states/eV/f.u.
Symmetry: I4/mmm, No. 139
Total DFT energy (no corrections): -5.441 eV per atom

Cell: 8.372 8.372 8.372 Å, 151.77 151.77 40.35°
Fractional positions:
Mn1 0.000 0.000 0.000
Cd1 0.250 0.250 0.000
Cd2 0.750 0.750 0.000
Pt1 0.119 0.619 0.500
Pt2 0.381 0.881 0.500
Pt3 0.500 0.500 0.000
Pt4 0.619 0.119 0.500
Pt5 0.881 0.381 0.500

---

No. 2
DFT (PBE) results for crystalline MnCd4Pt15 at its relaxed geometry.

Values from the calculation:
Theoretical density: 17.6 g/cm3
Magnetic moment: 4.00 μB per formula unit
DFT formation energy: -21.34 kJ per mole of atoms
Fermi-level density of states: 21.738 states/eV/f.u.
Symmetry: P4/mmm, No. 123
Total DFT energy (no corrections): -5.393 eV per atom

Cell: 4.005 4.005 20.222 Å, 90.00 90.00 90.00°
Fractional positions:
Mn1 0.000 0.000 0.000
Cd1 0.000 0.000 0.196
Cd2 0.000 0.000 0.399
Cd3 0.000 0.000 0.601
Cd4 0.000 0.000 0.804
Pt1 0.000 0.500 0.094
Pt2 0.000 0.500 0.297
Pt3 0.000 0.500 0.500
Pt4 0.000 0.500 0.703
Pt5 0.000 0.500 0.906
Pt6 0.500 0.000 0.094
Pt7 0.500 0.000 0.297
Pt8 0.500 0.000 0.500
Pt9 0.500 0.000 0.703
Pt10 0.500 0.000 0.906
Pt11 0.500 0.500 0.000
Pt12 0.500 0.500 0.196
Pt13 0.500 0.500 0.399
Pt14 0.500 0.500 0.601
Pt15 0.500 0.500 0.804

---

No. 3
DFT (PBE) results for crystalline Mn2CdPt2 at its relaxed geometry.

Values from the calculation:
Theoretical density: 13.2 g/cm3
Magnetic moment: 0.00 μB per formula unit
DFT formation energy: 15.21 kJ per mole of atoms
Fermi-level density of states: 5.203 states/eV/f.u.
Symmetry: I4/mmm, No. 139
Total DFT energy (no corrections): -6.110 eV per atom

Cell: 7.310 7.310 7.310 Å, 153.61 153.61 37.67°
Fractional positions:
Mn1 0.250 0.750 0.500
Mn2 0.750 0.250 0.500
Cd1 0.000 0.000 0.000
Pt1 0.390 0.390 0.000
Pt2 0.610 0.610 0.000

---

No. 4
DFT (PBE) results for crystalline MnCd4Pt at its relaxed geometry.

Values from the calculation:
Theoretical density: 9.7 g/cm3
Magnetic moment: 4.78 μB per formula unit
DFT formation energy: 25.14 kJ per mole of atoms
Fermi-level density of states: 2.172 states/eV/f.u.
Symmetry: F-43m, No. 216
Total DFT energy (no corrections): -2.885 eV per atom

Cell: 5.524 5.524 5.524 Å, 60.00 60.00 60.00°
Fractional positions:
Mn1 0.000 0.000 0.000
Cd1 0.375 0.375 0.375
Cd2 0.375 0.375 0.874
Cd3 0.375 0.874 0.375
Cd4 0.874 0.375 0.375
Pt1 0.750 0.750 0.750

---

No. 5
DFT (PBE) results for crystalline MnCdPt4 at its relaxed geometry.

Values from the calculation:
Theoretical density: 14.9 g/cm3
Magnetic moment: 3.99 μB per formula unit
DFT formation energy: -12.98 kJ per mole of atoms
Distance to the lowest polymorph of the same formula: 0.000 eV per atom
Fermi-level density of states: 4.576 states/eV/f.u.
Symmetry: F-43m, No. 216
Total DFT energy (no corrections): -5.843 eV per atom

Cell: 5.300 5.300 5.300 Å, 60.00 60.00 60.00°
Fractional positions:
Mn1 0.000 0.000 0.000
Cd1 0.750 0.750 0.750
Pt1 0.375 0.375 0.375
Pt2 0.375 0.375 0.875
Pt3 0.375 0.875 0.375
Pt4 0.875 0.375 0.375

---

No. 6
DFT (PBE) results for crystalline MnCd4Pt5 at its relaxed geometry.

Values from the calculation:
Theoretical density: 14.4 g/cm3
Magnetic moment: 4.54 μB per formula unit
DFT formation energy: -32.50 kJ per mole of atoms
Fermi-level density of states: 4.447 states/eV/f.u.
Symmetry: P4/mmm, No. 123
Total DFT energy (no corrections): -4.640 eV per atom

Cell: 2.996 2.996 19.002 Å, 90.00 90.00 90.00°
Fractional positions:
Mn1 0.000 0.000 0.000
Cd1 0.000 0.000 0.192
Cd2 0.000 0.000 0.397
Cd3 0.000 0.000 0.603
Cd4 0.000 0.000 0.808
Pt1 0.500 0.500 0.087
Pt2 0.500 0.500 0.295
Pt3 0.500 0.500 0.500
Pt4 0.500 0.500 0.705
Pt5 0.500 0.500 0.913

---

No. 7
DFT (PBE) results for crystalline Mn2CdPt3 at its relaxed geometry.

Values from the calculation:
Theoretical density: 14.1 g/cm3
Magnetic moment: 8.73 μB per formula unit
DFT formation energy: -35.51 kJ per mole of atoms
Fermi-level density of states: 2.047 states/eV/f.u.
Symmetry: P4/mmm, No. 123
Total DFT energy (no corrections): -6.597 eV per atom

Cell: 2.946 2.946 10.989 Å, 90.00 90.00 90.00°
Fractional positions:
Mn1 0.000 0.000 0.160
Mn2 0.000 0.000 0.840
Cd1 0.000 0.000 0.500
Pt1 0.500 0.500 0.000
Pt2 0.500 0.500 0.313
Pt3 0.500 0.500 0.687

---

No. 8
DFT (PBE) results for crystalline Mn2CdPt8 at its relaxed geometry.

Values from the calculation:
Theoretical density: 16.6 g/cm3
Magnetic moment: 7.29 μB per formula unit
DFT formation energy: -15.74 kJ per mole of atoms
Fermi-level density of states: 10.768 states/eV/f.u.
Symmetry: Immm, No. 71
Total DFT energy (no corrections): -6.307 eV per atom

Cell: 7.332 7.332 7.332 Å, 148.33 119.39 70.01°
Fractional positions:
Mn1 0.182 0.182 0.000
Mn2 0.818 0.818 0.000
Cd1 0.500 0.500 0.000
Pt1 0.065 0.337 0.728
Pt2 0.199 0.000 0.199
Pt3 0.341 0.841 0.500
Pt4 0.392 0.663 0.728
Pt5 0.608 0.337 0.272
Pt6 0.659 0.159 0.500
Pt7 0.801 0.000 0.801
Pt8 0.935 0.663 0.272

---

No. 9
DFT (PBE) results for crystalline Mn5CdPt6 at its relaxed geometry.

Values from the calculation:
Theoretical density: 13.9 g/cm3
Magnetic moment: 22.23 μB per formula unit
DFT formation energy: -33.96 kJ per mole of atoms
Fermi-level density of states: 4.243 states/eV/f.u.
Symmetry: Immm, No. 71
Total DFT energy (no corrections): -7.269 eV per atom

Cell: 7.502 7.502 7.502 Å, 147.46 123.79 66.47°
Fractional positions:
Mn1 0.000 0.000 0.000
Mn2 0.172 0.672 0.500
Mn3 0.338 0.338 0.000
Mn4 0.662 0.662 0.000
Mn5 0.828 0.328 0.500
Cd1 0.500 0.000 0.500
Pt1 0.069 0.830 0.239
Pt2 0.230 0.500 0.730
Pt3 0.409 0.170 0.239
Pt4 0.591 0.830 0.761
Pt5 0.770 0.500 0.270
Pt6 0.931 0.170 0.761

---

No. 10
DFT (PBE) results for crystalline MnCd3Pt6 at its relaxed geometry.

Values from the calculation:
Theoretical density: 15.6 g/cm3
Magnetic moment: 4.52 μB per formula unit
DFT formation energy: -28.88 kJ per mole of atoms
Fermi-level density of states: 5.381 states/eV/f.u.
Symmetry: P2_1/m, No. 11
Total DFT energy (no corrections): -5.115 eV per atom

Cell: 8.859 4.109 9.141 Å, 90.00 92.44 90.00°
Fractional positions:
Mn1 0.053 0.250 0.389
Mn2 0.947 0.750 0.611
Cd1 0.247 0.250 0.002
Cd2 0.347 0.750 0.796
Cd3 0.449 0.250 0.599
Cd4 0.551 0.750 0.401
Cd5 0.653 0.250 0.204
Cd6 0.753 0.750 0.998
Pt1 0.048 0.750 0.897
Pt2 0.136 0.250 0.687
Pt3 0.147 0.750 0.204
Pt4 0.231 0.750 0.495
Pt5 0.342 0.250 0.303
Pt6 0.448 0.750 0.102
Pt7 0.552 0.250 0.898
Pt8 0.658 0.750 0.697
Pt9 0.769 0.250 0.505
Pt10 0.853 0.250 0.796
Pt11 0.864 0.750 0.313
Pt12 0.952 0.250 0.103

---

No. 11
DFT (PBE) results for crystalline MnCd3Pt12 at its relaxed geometry.

Values from the calculation:
Theoretical density: 17.6 g/cm3
Magnetic moment: 4.23 μB per formula unit
DFT formation energy: -22.49 kJ per mole of atoms
Fermi-level density of states: 16.826 states/eV/f.u.
Symmetry: P4/mmm, No. 123
Total DFT energy (no corrections): -5.508 eV per atom

Cell: 4.009 4.009 16.075 Å, 90.00 90.00 90.00°
Fractional positions:
Mn1 0.000 0.000 0.000
Cd1 0.000 0.000 0.246
Cd2 0.000 0.000 0.500
Cd3 0.000 0.000 0.754
Pt1 0.000 0.500 0.118
Pt2 0.000 0.500 0.373
Pt3 0.000 0.500 0.627
Pt4 0.000 0.500 0.882
Pt5 0.500 0.000 0.118
Pt6 0.500 0.000 0.373
Pt7 0.500 0.000 0.627
Pt8 0.500 0.000 0.882
Pt9 0.500 0.500 0.000
Pt10 0.500 0.500 0.246
Pt11 0.500 0.500 0.500
Pt12 0.500 0.500 0.754

---

No. 12
DFT (PBE) results for crystalline MnCd3Pt at its relaxed geometry.

Values from the calculation:
Theoretical density: 7.0 g/cm3
Magnetic moment: 4.83 μB per formula unit
DFT formation energy: 43.17 kJ per mole of atoms
Distance to the lowest polymorph of the same formula: 0.000 eV per atom
Fermi-level density of states: 2.707 states/eV/f.u.
Symmetry: Pm-3m, No. 221
Total DFT energy (no corrections): -3.144 eV per atom

Cell: 5.180 5.180 5.180 Å, 90.00 90.00 90.00°
Fractional positions:
Mn1 0.000 0.000 0.000
Cd1 0.000 0.500 0.500
Cd2 0.500 0.000 0.500
Cd3 0.500 0.500 0.000
Pt1 0.500 0.500 0.500

---

No. 13
DFT (PBE) results for crystalline MnCd5Pt6 at its relaxed geometry.

Values from the calculation:
Theoretical density: 14.4 g/cm3
Magnetic moment: 4.43 μB per formula unit
DFT formation energy: -31.82 kJ per mole of atoms
Fermi-level density of states: 3.312 states/eV/f.u.
Symmetry: Cmmm, No. 65
Total DFT energy (no corrections): -4.496 eV per atom

Cell: 6.695 6.695 7.664 Å, 90.00 90.00 143.21°
Fractional positions:
Mn1 0.000 0.000 0.000
Cd1 0.000 0.000 0.500
Cd2 0.333 0.667 0.500
Cd3 0.334 0.666 0.000
Cd4 0.666 0.334 0.000
Cd5 0.667 0.333 0.500
Pt1 0.162 0.838 0.245
Pt2 0.162 0.838 0.755
Pt3 0.500 0.500 0.239
Pt4 0.500 0.500 0.761
Pt5 0.838 0.162 0.245
Pt6 0.838 0.162 0.755

---

No. 14
DFT (PBE) results for crystalline MnCdPt4 at its relaxed geometry.

Values from the calculation:
Theoretical density: 14.1 g/cm3
Magnetic moment: 3.44 μB per formula unit
DFT formation energy: -4.08 kJ per mole of atoms
Distance to the lowest polymorph of the same formula: 0.092 eV per atom
Fermi-level density of states: 4.312 states/eV/f.u.
Symmetry: P4/mmm, No. 123
Total DFT energy (no corrections): -5.750 eV per atom

Cell: 3.843 3.843 7.581 Å, 90.00 90.00 90.00°
Fractional positions:
Mn1 0.000 0.000 0.000
Cd1 0.500 0.500 0.500
Pt1 0.000 0.500 0.223
Pt2 0.000 0.500 0.777
Pt3 0.500 0.000 0.223
Pt4 0.500 0.000 0.777

---

No. 15
DFT (PBE) results for crystalline Sr2MnCdPt at its relaxed geometry.

Values from the calculation:
Theoretical density: 5.1 g/cm3
Magnetic moment: 3.94 μB per formula unit
DFT formation energy: 52.08 kJ per mole of atoms
Fermi-level density of states: 3.194 states/eV/f.u.
Symmetry: P4/mmm, No. 123
Total DFT energy (no corrections): -3.358 eV per atom

Cell: 5.989 5.989 4.913 Å, 90.00 90.00 90.00°
Fractional positions:
Sr1 0.000 0.500 0.000
Sr2 0.500 0.000 0.000
Mn1 0.000 0.000 0.500
Cd1 0.000 0.000 0.000
Pt1 0.500 0.500 0.500

---

No. 16
DFT (PBE) results for crystalline MnCdTc2Pt at its relaxed geometry.

Values from the calculation:
Theoretical density: 8.8 g/cm3
Magnetic moment: 2.44 μB per formula unit
DFT formation energy: 165.66 kJ per mole of atoms
Fermi-level density of states: 10.751 states/eV/f.u.
Symmetry: P4/mmm, No. 123
Total DFT energy (no corrections): -5.655 eV per atom

Cell: 4.796 4.796 4.576 Å, 90.00 90.00 90.00°
Fractional positions:
Mn1 0.000 0.000 0.000
Cd1 0.500 0.500 0.000
Tc1 0.000 0.500 0.500
Tc2 0.500 0.000 0.500
Pt1 0.000 0.000 0.500

---

No. 17
DFT (PBE) results for crystalline MnTlCd2Pt at its relaxed geometry.

Values from the calculation:
Theoretical density: 8.8 g/cm3
Magnetic moment: 3.52 μB per formula unit
DFT formation energy: 83.93 kJ per mole of atoms
Fermi-level density of states: 4.905 states/eV/f.u.
Symmetry: P4/mmm, No. 123
Total DFT energy (no corrections): -3.011 eV per atom

Cell: 5.031 5.031 5.070 Å, 90.00 90.00 90.00°
Fractional positions:
Mn1 0.000 0.000 0.000
Tl1 0.000 0.000 0.500
Cd1 0.000 0.500 0.000
Cd2 0.500 0.000 0.000
Pt1 0.500 0.500 0.500

---

No. 18
DFT (PBE) results for crystalline Mn2ZnCd2Pt5 at its relaxed geometry.

Values from the calculation:
Theoretical density: 13.5 g/cm3
Magnetic moment: 8.80 μB per formula unit
DFT formation energy: -21.23 kJ per mole of atoms
Fermi-level density of states: 4.123 states/eV/f.u.
Symmetry: P4/mbm, No. 127
Total DFT energy (no corrections): -5.385 eV per atom

Cell: 9.306 9.306 3.893 Å, 90.00 90.00 90.00°
Fractional positions:
Mn1 0.128 0.372 0.000
Mn2 0.372 0.872 0.000
Mn3 0.628 0.128 0.000
Mn4 0.872 0.628 0.000
Zn1 0.000 0.000 0.000
Zn2 0.500 0.500 0.000
Cd1 0.170 0.670 0.000
Cd2 0.330 0.170 0.000
Cd3 0.670 0.830 0.000
Cd4 0.830 0.330 0.000
Pt1 0.000 0.500 0.500
Pt2 0.075 0.196 0.500
Pt3 0.196 0.925 0.500
Pt4 0.304 0.425 0.500
Pt5 0.425 0.696 0.500
Pt6 0.500 0.000 0.500
Pt7 0.575 0.304 0.500
Pt8 0.696 0.575 0.500
Pt9 0.804 0.075 0.500
Pt10 0.925 0.804 0.500

---

No. 19
DFT (PBE) results for crystalline PuMn2Cd at its relaxed geometry.

Values from the calculation:
Theoretical density: 10.6 g/cm3
Magnetic moment: 10.99 μB per formula unit
DFT formation energy: 53.42 kJ per mole of atoms
Fermi-level density of states: 12.480 states/eV/f.u.
Symmetry: P4/mmm, No. 123
Total DFT energy (no corrections): -7.843 eV per atom

Cell: 4.960 4.960 2.967 Å, 90.00 90.00 90.00°
Fractional positions:
Pu1 0.000 0.000 0.000
Mn1 0.000 0.500 0.500
Mn2 0.500 0.000 0.500
Cd1 0.500 0.500 0.000

---

No. 20
DFT (PBE) results for crystalline PuMnCdRh at its relaxed geometry.

Values from the calculation:
Theoretical density: 11.7 g/cm3
Magnetic moment: 1.79 μB per formula unit
DFT formation energy: -12.02 kJ per mole of atoms
Fermi-level density of states: 6.142 states/eV/f.u.
Symmetry: F-43m, No. 216
Total DFT energy (no corrections): -8.067 eV per atom

Cell: 4.691 4.691 4.691 Å, 60.00 60.00 60.00°
Fractional positions:
Pu1 0.000 0.000 0.000
Mn1 0.250 0.250 0.250
Cd1 0.500 0.500 0.500
Rh1 0.750 0.750 0.750